[1]
Below is crystalline Ho2TlBi at its relaxed geometry, with properties calculated at the GGA-PBE level.

Cell: 4.1612 4.1612 8.6871 Å, 76.14 76.14 60.00°
Closest atoms and distances in Å follow each position.
Positions (direct):
Ho  0.0780  0.0780  0.7660  3 Bi 3.08, 3 Tl 3.26
Tl  0.4994  0.4994  0.5018  6 Ho 3.26-3.28
Bi  0.6676  0.6676  0.9971  6 Ho 3.08-3.12
Ho  0.2550  0.2550  0.2351  3 Bi 3.12, 3 Tl 3.28

Properties
Polymorph energy (0 for the lowest one) = 70 meV per atom
DFT formation energy = -1.6 eV per formula unit

[2]
Below is crystalline AlInBi at its relaxed geometry, with properties calculated at the GGA-PBE level.

Cell: 4.5290 4.9137 7.5998 Å, 89.96 100.78 90.00°
Closest atoms and distances in Å follow each position.
Positions (direct):
Al  0.6177  0.1025  0.5447  2 Al 2.73-2.74, 2 Bi 2.87-3.00, 2 In 3.06
Bi  0.0044  0.2533  0.3011  3 Al 2.87-3.13
Al  0.3724  0.6026  0.5831  2 Al 2.73-2.74, 2 Bi 2.87-3.00, 2 In 3.05-3.06
In  0.4966  0.2426  0.9166  2 Al 3.05-3.06, 3 Bi 3.32-3.39, 2 In 3.32-3.33
Bi  0.9862  0.7526  0.8269  3 Al 2.87-3.13
In  0.4951  0.7430  0.2110  2 Al 3.06, 3 Bi 3.31-3.39, 2 In 3.32-3.33

Properties
Polymorph energy (0 for the lowest one) = 6 meV per atom
DFT formation energy = 0.4 eV per formula unit

[3]
Below is crystalline CdCuNF2 at its relaxed geometry, with properties calculated at the GGA-PBE level.

Cell: 3.9771 3.9771 3.9143 Å, 90.00 90.00 90.00°
Closest atoms and distances in Å follow each position.
Positions (direct):
N  0.0000  0.0000  0.5000  2 Cu 1.96
Cu  0.0000  0.0000  0.0000  2 N 1.96, 4 F 1.99
F  0.0000  0.5000  0.0000  2 Cu 1.99
F  0.5000  0.0000  0.0000  2 Cu 1.99
Cd  0.5000  0.5000  0.5000  8 F 2.79, 4 N 2.81

Properties
Polymorph energy (0 for the lowest one) = 0 meV per atom
Raw formation energy = -0.37 eV per atom

[4]
Below is crystalline Sr4Zn3Hg at its relaxed geometry, with properties calculated at the GGA-PBE level.

Cell: 4.6832 4.6614 11.9748 Å, 90.00 90.00 90.00°
Closest atoms and distances in Å follow each position.
Positions (direct):
Zn  0.0000  0.0000  0.4437  2 Zn 2.70
Sr  0.0000  0.0000  0.1448  4 Hg 3.43, 3 Zn 3.46-3.58
Zn  0.5000  0.0000  0.9316  2 Hg 2.84
Zn  0.0000  0.5000  0.5578  2 Zn 2.70
Hg  0.5000  0.5000  0.0665  2 Zn 2.84
Sr  0.0000  0.5000  0.8540  5 Zn 3.43-3.55, 2 Hg 3.46
Sr  0.5000  0.0000  0.6427  7 Zn 3.34-3.46
Sr  0.5000  0.5000  0.3588  6 Zn 3.34-3.46, 1 Hg 3.50

Properties
Polymorph energy (0 for the lowest one) = 0 meV per atom
DFT formation energy = -2.2 eV per formula unit

[5]
Below is crystalline Bi2Se3 at its relaxed geometry, with properties calculated at the GGA-PBE level.

Cell: 14.6137 9.0660 9.0660 Å, 94.33 129.15 50.85°
Closest atoms and distances in Å follow each position.
Positions (direct):
Bi  0.2500  0.2737  0.7737  2 Se 3.11, 2 Bi 3.20
Se  0.8972  0.7033  0.0754  1 Se 2.40
Bi  0.2669  0.9056  0.7272  2 Se 2.80-2.89
Bi  0.7500  0.2171  0.7171  6 Se 2.89-3.13
Se  0.5503  0.6757  0.4136  1 Se 2.40
Se  0.9976  0.2122  0.2083  2 Bi 2.80-2.89
Bi  0.7500  0.7263  0.2263  2 Se 3.11, 2 Bi 3.20
Se  0.6028  0.5754  0.2033  1 Se 2.40
Se  0.0024  0.7878  0.7917  2 Bi 2.80-2.89
Bi  0.7669  0.7728  0.5944  2 Se 2.80-2.89
Bi  0.2500  0.7829  0.2829  6 Se 2.89-3.13
Se  0.5024  0.7083  0.7122  2 Bi 2.80-2.89
Se  0.4976  0.2917  0.2878  2 Bi 2.80-2.89
Se  0.9497  0.9136  0.1757  1 Se 2.40
Se  0.1028  0.2967  0.9246  1 Se 2.40
Se  0.3972  0.4246  0.7967  1 Se 2.40
Se  0.0503  0.0864  0.8243  1 Se 2.40
Bi  0.2331  0.2272  0.4056  2 Se 2.80-2.89
Se  0.4497  0.3243  0.5864  1 Se 2.40
Bi  0.7331  0.0944  0.2728  2 Se 2.80-2.89

Properties
Raw formation energy = -0.12 eV per atom

[6]
Below is crystalline Tl4HgSeS at its relaxed geometry, with properties calculated at the GGA-PBE level.

Cell: 7.4531 7.3390 9.4242 Å, 90.00 111.34 90.00°
Closest atoms and distances in Å follow each position.
Positions (direct):
Tl  0.4761  0.7500  0.1389  1 S 2.72
Se  0.2083  0.2500  0.5258  6 Tl 3.08-3.18
Tl  0.0733  0.5146  0.7321  1 S 2.84, 2 Se 3.10-3.16
Se  0.7917  0.7500  0.4742  6 Tl 3.08-3.18
Tl  0.9267  0.0146  0.2679  1 S 2.84, 2 Se 3.10-3.16
Tl  0.5569  0.2500  0.4243  1 S 2.80, 1 Se 3.08
Tl  0.0733  0.9854  0.7321  1 S 2.84, 2 Se 3.10-3.16
S  0.7963  0.2500  0.7327  4 Tl 2.72-2.84
S  0.2037  0.7500  0.2673  4 Tl 2.72-2.84
Hg  0.1786  0.2500  0.0767  1 S 3.45, 6 Tl 3.46-3.82
Hg  0.8214  0.7500  0.9233  1 S 3.45, 6 Tl 3.46-3.82
Tl  0.4431  0.7500  0.5757  1 S 2.80, 1 Se 3.08
Tl  0.5239  0.2500  0.8611  1 S 2.72
Tl  0.9267  0.4854  0.2679  1 S 2.84, 2 Se 3.10-3.16

Properties
Raw formation energy = -0.24 eV per atom

Let's list energy in order: -16.98; -20.02; -18.95; -13.02; -75.23; -38.13 eV for the cell shown.
Let's list density in order: 9.86; 7.01; 6.11; 4.75; 7.14; 7.81 g/cm3.